Record 1
# Nd2Sm9Sc, optimized geometry, DFT PBE
data_Nd2Sm9Sc
_cell_length_a 5.102
_cell_length_b 5.102
_cell_length_c 15.291
_cell_angle_alpha 90.00
_cell_angle_beta 90.00
_cell_angle_gamma 90.00
_symmetry_space_group_name_H-M 'P 1'
_symmetry_Int_Tables_number 1
loop_
_symmetry_equiv_pos_as_xyz
'x,y,z'
loop_
_atom_site_label
_atom_site_type_symbol
_atom_site_fract_x
_atom_site_fract_y
_atom_site_fract_z
Sm1 Sm 0.000 0.500 0.161
Sm2 Sm 0.500 0.500 0.000
Sm3 Sm 0.000 0.500 0.839
Sm4 Sm 0.500 0.000 0.839
Sm5 Sm 0.500 0.000 0.500
Sm6 Sm 0.500 0.500 0.330
Sm7 Sm 0.000 0.500 0.500
Sm8 Sm 0.500 0.000 0.161
Sm9 Sm 0.500 0.500 0.670
Nd1 Nd 0.000 0.000 0.330
Nd2 Nd 0.000 0.000 0.670
Sc1 Sc 0.000 0.000 0.000
# Uncorrected energy   -4.833 eV per atom
# Space group   P4/mmm
# Crystal system   tetragonal
# DOS(E_F)   19.5 states/eV per cell
# Formation enthalpy at 0 K   0.028 eV per atom

---

Record 2
# NdSm5Sc2, optimized geometry, DFT PBE
data_NdSm5Sc2
_cell_length_a 9.091
_cell_length_b 9.091
_cell_length_c 8.910
_cell_angle_alpha 120.67
_cell_angle_beta 120.67
_cell_angle_gamma 90.00
_symmetry_space_group_name_H-M 'P 1'
_symmetry_Int_Tables_number 1
loop_
_symmetry_equiv_pos_as_xyz
'x,y,z'
loop_
_atom_site_label
_atom_site_type_symbol
_atom_site_fract_x
_atom_site_fract_y
_atom_site_fract_z
Sc1 Sc 0.347 0.847 0.000
Sc2 Sc 0.847 0.653 0.000
Sc3 Sc 0.153 0.347 0.000
Sc4 Sc 0.653 0.153 0.000
Sm1 Sm 0.988 0.488 0.685
Sm2 Sm 0.804 0.012 0.315
Sm3 Sm 0.488 0.696 0.685
Sm4 Sm 0.012 0.512 0.315
Sm5 Sm 0.196 0.988 0.685
Sm6 Sm 0.696 0.196 0.685
Sm7 Sm 0.304 0.804 0.315
Sm8 Sm 0.512 0.304 0.315
Sm9 Sm 0.000 0.000 0.000
Sm10 Sm 0.500 0.500 0.000
Nd1 Nd 0.750 0.750 0.500
Nd2 Nd 0.250 0.250 0.500
# Uncorrected energy   -4.991 eV per atom
# Space group   I4/mcm
# Crystal system   tetragonal
# DOS(E_F)   20.6 states/eV per cell
# Formation enthalpy at 0 K   0.137 eV per atom
# Excess energy over the best structure of this formula in the dataset   101 meV per atom

---

Record 3
# NdSm2Sc3, optimized geometry, DFT PBE
data_NdSm2Sc3
_cell_length_a 11.517
_cell_length_b 8.670
_cell_length_c 8.671
_cell_angle_alpha 40.76
_cell_angle_beta 48.38
_cell_angle_gamma 48.38
_symmetry_space_group_name_H-M 'P 1'
_symmetry_Int_Tables_number 1
loop_
_symmetry_equiv_pos_as_xyz
'x,y,z'
loop_
_atom_site_label
_atom_site_type_symbol
_atom_site_fract_x
_atom_site_fract_y
_atom_site_fract_z
Sm1 Sm 0.607 0.136 0.136
Sm2 Sm 0.393 0.864 0.864
Sm3 Sm 0.879 0.364 0.364
Sm4 Sm 0.121 0.636 0.636
Sc1 Sc 0.248 0.502 0.002
Sc2 Sc 0.752 0.498 0.998
Sc3 Sc 0.752 0.998 0.498
Sc4 Sc 0.500 0.750 0.250
Sc5 Sc 0.500 0.250 0.750
Sc6 Sc 0.248 0.002 0.502
Nd1 Nd 0.000 0.500 0.500
Nd2 Nd 0.000 0.000 0.000
# Uncorrected energy   -4.992 eV per atom
# Space group   Ibam
# Crystal system   orthorhombic
# DOS(E_F)   21.9 states/eV per cell
# Formation enthalpy at 0 K   0.542 eV per atom

---

Record 4
# Nd2Sm2Sc, optimized geometry, DFT PBE
data_Nd2Sm2Sc
_cell_length_a 5.732
_cell_length_b 3.564
_cell_length_c 16.389
_cell_angle_alpha 96.24
_cell_angle_beta 100.07
_cell_angle_gamma 90.00
_symmetry_space_group_name_H-M 'P 1'
_symmetry_Int_Tables_number 1
loop_
_symmetry_equiv_pos_as_xyz
'x,y,z'
loop_
_atom_site_label
_atom_site_type_symbol
_atom_site_fract_x
_atom_site_fract_y
_atom_site_fract_z
Sm1 Sm 0.731 0.981 0.461
Sm2 Sm 0.634 0.884 0.269
Sm3 Sm 0.366 0.116 0.731
Sm4 Sm 0.269 0.019 0.539
Sc1 Sc 0.175 0.425 0.349
Sc2 Sc 0.825 0.575 0.651
Nd1 Nd 0.544 0.294 0.087
Nd2 Nd 0.456 0.706 0.913
Nd3 Nd 0.938 0.188 0.876
Nd4 Nd 0.062 0.812 0.124
# Uncorrected energy   -4.872 eV per atom
# Space group   Imma
# Crystal system   orthorhombic
# DOS(E_F)   16.1 states/eV per cell
# Formation enthalpy at 0 K   0.189 eV per atom
# Excess energy over the best structure of this formula in the dataset   53 meV per atom

---

Record 5
# NdSm3Sc, optimized geometry, DFT PBE
data_NdSm3Sc
_cell_length_a 3.634
_cell_length_b 8.503
_cell_length_c 11.021
_cell_angle_alpha 74.73
_cell_angle_beta 99.49
_cell_angle_gamma 90.00
_symmetry_space_group_name_H-M 'P 1'
_symmetry_Int_Tables_number 1
loop_
_symmetry_equiv_pos_as_xyz
'x,y,z'
loop_
_atom_site_label
_atom_site_type_symbol
_atom_site_fract_x
_atom_site_fract_y
_atom_site_fract_z
Sc1 Sc 0.220 0.167 0.440
Sc2 Sc 0.780 0.833 0.560
Sm1 Sm 0.812 0.374 0.624
Sm2 Sm 0.381 0.015 0.762
Sm3 Sm 0.018 0.777 0.036
Sm4 Sm 0.982 0.223 0.964
Sm5 Sm 0.619 0.985 0.238
Sm6 Sm 0.188 0.626 0.376
Nd1 Nd 0.592 0.406 0.183
Nd2 Nd 0.408 0.594 0.817
# Uncorrected energy   -5.005 eV per atom
# Space group   C2/m
# Crystal system   monoclinic
# DOS(E_F)   17.3 states/eV per cell
# Formation enthalpy at 0 K   0.047 eV per atom
# Excess energy over the best structure of this formula in the dataset   0 meV per atom

---

Record 6
# Nd3Sm2Sc4, optimized geometry, DFT PBE
data_Nd3Sm2Sc4
_cell_length_a 5.869
_cell_length_b 10.949
_cell_length_c 10.949
_cell_angle_alpha 62.49
_cell_angle_beta 64.25
_cell_angle_gamma 64.25
_symmetry_space_group_name_H-M 'P 1'
_symmetry_Int_Tables_number 1
loop_
_symmetry_equiv_pos_as_xyz
'x,y,z'
loop_
_atom_site_label
_atom_site_type_symbol
_atom_site_fract_x
_atom_site_fract_y
_atom_site_fract_z
Sm1 Sm 0.453 0.248 0.502
Sm2 Sm 0.047 0.498 0.752
Sm3 Sm 0.547 0.752 0.498
Sm4 Sm 0.953 0.502 0.248
Nd1 Nd 0.294 0.275 0.044
Nd2 Nd 0.706 0.725 0.956
Nd3 Nd 0.206 0.956 0.725
Nd4 Nd 0.250 0.626 0.374
Nd5 Nd 0.794 0.044 0.275
Nd6 Nd 0.750 0.374 0.626
Sc1 Sc 0.442 0.927 0.172
Sc2 Sc 0.622 0.401 0.131
Sc3 Sc 0.378 0.599 0.869
Sc4 Sc 0.878 0.869 0.599
Sc5 Sc 0.558 0.073 0.828
Sc6 Sc 0.058 0.828 0.073
Sc7 Sc 0.122 0.131 0.401
Sc8 Sc 0.942 0.172 0.927
# Uncorrected energy   -5.337 eV per atom
# Space group   C2/c
# Crystal system   monoclinic
# DOS(E_F)   28.0 states/eV per cell
# Formation enthalpy at 0 K   0.115 eV per atom

---

- Among the records above, which one has the highest uncorrected energy?
  Nd2Sm9Sc